A geometry-optimized Hf2TcGe2 structure. Source: Alexandria via LeMat-Bulk, functional PBE.

Geometry as extended XYZ:
```
5
Lattice="-1.048 3.740 -0.863 -1.626 2.643 4.259 3.320 3.526 2.077" Properties=species:S:1:pos:R:3 pbc="T T T"
Hf 0.376 7.336 3.820
Ge 1.434 5.153 2.246
Hf 0.270 2.574 1.653
Tc 0.000 0.000 0.000
Ge -0.788 4.757 3.227
```

Results
Raw total energy: -8.459 eV/atom
E_form: -0.558 eV/atom
SG: Immm, No. 71